Here is a relaxed structure of Li2Nd2Al5Pd from the Alexandria database. Energies are from PBE-GGA.

Values from the calculation:
ΔH_f (0 K) ... -363 meV/atom
Space group ... P4/mbm
M_tot ... 0.000 μB/f.u.

Unit cell a=3.8961 b=9.9125 c=9.9125 alpha=90.00 beta=90.00 gamma=90.00
Element x y z (fractional)
Al  0.5000  0.0479  0.8097
Al  0.5000  0.4521  0.3097
Al  0.5000  0.1903  0.0479
Al  0.5000  0.3097  0.5479
Al  0.5000  0.5000  0.0000
Al  0.5000  0.8097  0.9521
Al  0.5000  0.5479  0.6903
Al  0.5000  0.6903  0.4521
Al  0.5000  0.0000  0.5000
Al  0.5000  0.9521  0.1903
Nd  0.0000  0.6842  0.1842
Nd  0.0000  0.1842  0.3158
Nd  0.0000  0.8158  0.6842
Nd  0.0000  0.3158  0.8158
Pd  0.0000  0.5000  0.5000
Pd  0.0000  0.0000  0.0000
Li  0.0000  0.8836  0.3836
Li  0.0000  0.1164  0.6164
Li  0.0000  0.3836  0.1164
Li  0.0000  0.6164  0.8836